A:
Computed, not measured: a relaxed structure of Cr2CuS at the GGA-PBE level of DFT.

Cell: 5.246 5.246 5.246 Å, 103.36 103.36 122.53°
Fractional coordinates of all 8 atoms:
Cr1 0.080 0.625 0.955
Cr2 0.375 0.330 0.455
Cr3 0.670 0.125 0.045
Cr4 0.875 0.920 0.545
Cu1 0.250 0.750 0.500
Cu2 0.500 0.500 0.000
S1 0.000 0.000 0.000
S2 0.750 0.250 0.500

Properties
M_tot: 3.0 μB per formula unit
Calculated density: 6.21 g/cm³

B:
Computed, not measured: a relaxed structure of Cr2CuS at the GGA-PBE level of DFT.

Cell: 4.028 4.028 4.028 Å, 60.00 60.00 60.00°
Fractional coordinates of all 4 atoms:
Cr1 0.250 0.250 0.250
Cr2 0.750 0.750 0.750
Cu1 0.000 0.000 0.000
S1 0.500 0.500 0.500

Properties
M_tot: 0.0 μB per formula unit
Calculated density: 7.17 g/cm³

Which structure is the least stable? The one labeled A.

A:
Computed, not measured: a relaxed structure of CrCuS3 at the GGA-PBE level of DFT.

Cell: 4.499 4.499 4.499 Å, 90.00 90.00 90.00°
Fractional coordinates of all 5 atoms:
Cr1 0.000 0.000 0.000
Cu1 0.500 0.500 0.500
S1 0.000 0.000 0.500
S2 0.000 0.500 0.000
S3 0.500 0.000 0.000

Properties
M_tot: 1.5 μB per formula unit
Calculated density: 3.86 g/cm³

B:
Computed, not measured: a relaxed structure of CrCuS3 at the GGA-PBE level of DFT.

Cell: 4.766 4.766 4.766 Å, 88.44 88.44 88.44°
Fractional coordinates of all 5 atoms:
Cr1 0.000 0.000 0.000
Cu1 0.640 0.640 0.640
S1 0.451 0.942 0.942
S2 0.942 0.451 0.942
S3 0.942 0.942 0.451

Properties
M_tot: 1.2 μB per formula unit
Calculated density: 3.25 g/cm³

Which structure is the least stable? The one labeled A.